This record from the Alexandria database describes a relaxed structure of Y2Os. The functional is PBE.

a b c (Å): 8.2581 8.2581 5.1718
angles (deg): 90.00 90.00 155.67
Closest atoms and distances in Å follow each position.
Atoms (fractional coordinates):
Y1 0.0709 0.9291 0.7500  6 Os 2.90-3.12
Y2 0.2082 0.7918 0.2500  2 Os 2.79
Y3 0.7918 0.2082 0.7500  2 Os 2.79
Y4 0.9291 0.0709 0.2500  6 Os 2.90-3.12
Os1 0.4270 0.5730 0.7500  8 Y 2.79-3.12
Os2 0.5730 0.4270 0.2500  8 Y 2.79-3.12

Output
**E_form**: -82 meV/atom
**Space group**: Cmcm, No. 63
**ρ**: 8413 kg/m3

---

This record from the Alexandria database describes a relaxed structure of YOs. The functional is PBE.

a b c (Å): 5.4892 5.4892 5.4892
angles (deg): 90.00 90.00 90.00
Closest atoms and distances in Å follow each position.
Atoms (fractional coordinates):
Y1 0.0904 0.0904 0.0904  7 Os 2.89-2.98
Y2 0.4096 0.9096 0.5904  7 Os 2.89-2.98
Y3 0.5904 0.4096 0.9096  7 Os 2.89-2.98
Y4 0.9096 0.5904 0.4096  7 Os 2.89-2.98
Os1 0.0991 0.5991 0.9009  7 Y 2.89-2.98
Os2 0.4009 0.4009 0.4009  7 Y 2.89-2.98
Os3 0.5991 0.9009 0.0991  7 Y 2.89-2.98
Os4 0.9009 0.0991 0.5991  7 Y 2.89-2.98

Output
**E_form**: 348 meV/atom
**Space group**: P2_13, No. 198
**ρ**: 11210 kg/m3

---

This record from the Alexandria database describes a relaxed structure of Y2Os. The functional is PBE.

a b c (Å): 15.4893 15.4893 15.4893
angles (deg): 164.07 164.07 22.60
Closest atoms and distances in Å follow each position.
Atoms (fractional coordinates):
Y1 0.0386 0.7886 0.2500  4 Os 3.06, 6 Y 3.18-3.41
Y2 0.1240 0.3740 0.7500  6 Y 3.04-3.36, 4 Os 3.06-3.10
Y3 0.2114 0.9614 0.2500  4 Os 3.06, 6 Y 3.18-3.41
Y4 0.3740 0.1240 0.2500  6 Y 3.04-3.36, 4 Os 3.06-3.10
Y5 0.6260 0.8760 0.7500  6 Y 3.04-3.36, 4 Os 3.06-3.10
Y6 0.7886 0.0386 0.7500  4 Os 3.06, 6 Y 3.18-3.41
Y7 0.8760 0.6260 0.2500  6 Y 3.04-3.36, 4 Os 3.06-3.10
Y8 0.9614 0.2114 0.7500  4 Os 3.06, 6 Y 3.18-3.41
Os1 0.3022 0.5522 0.7500  8 Y 3.06-3.10
Os2 0.4478 0.6978 0.7500  8 Y 3.06-3.10
Os3 0.5522 0.3022 0.2500  8 Y 3.06-3.10
Os4 0.6978 0.4478 0.2500  8 Y 3.06-3.10

Output
**E_form**: 187 meV/atom
**Space group**: I4_1/amd, No. 141
**ρ**: 8738 kg/m3

---

This record from the Alexandria database describes a relaxed structure of YOs5. The functional is PBE.

a b c (Å): 5.2096 5.2096 5.2096
angles (deg): 60.00 60.00 60.00
Closest atoms and distances in Å follow each position.
Atoms (fractional coordinates):
Y1 0.0000 0.0000 0.0000  16 Os 3.06-3.19
Os1 0.3756 0.3756 0.3756  6 Os 2.59-2.62
Os2 0.3756 0.3756 0.8733  6 Os 2.59-2.62
Os3 0.3756 0.8733 0.3756  6 Os 2.59-2.62
Os4 0.7500 0.7500 0.7500  12 Os 3.05, 4 Y 3.19
Os5 0.8733 0.3756 0.3756  6 Os 2.59-2.62

Output
**E_form**: 390 meV/atom
**Space group**: F-43m, No. 216
**ρ**: 17275 kg/m3

---

This record from the Alexandria database describes a relaxed structure of YOs. The functional is PBE.

a b c (Å): 7.7466 7.7466 7.7466
angles (deg): 90.00 90.00 90.00
Closest atoms and distances in Å follow each position.
Atoms (fractional coordinates):
Y1 0.0000 0.2500 0.5000  4 Os 2.74
Y2 0.0000 0.7500 0.5000  4 Os 2.74
Y3 0.2500 0.5000 0.0000  4 Os 2.74
Y4 0.5000 0.0000 0.2500  4 Os 2.74
Y5 0.5000 0.0000 0.7500  4 Os 2.74
Y6 0.7500 0.5000 0.0000  4 Os 2.74
Os1 0.0000 0.5000 0.2500  4 Y 2.74
Os2 0.0000 0.5000 0.7500  4 Y 2.74
Os3 0.2500 0.0000 0.5000  4 Y 2.74
Os4 0.5000 0.2500 0.0000  4 Y 2.74
Os5 0.5000 0.7500 0.0000  4 Y 2.74
Os6 0.7500 0.0000 0.5000  4 Y 2.74

Output
**E_form**: 1752 meV/atom
**Space group**: Pm-3n, No. 223
**ρ**: 5982 kg/m3

---

This record from the Alexandria database describes a relaxed structure of Y2Os. The functional is PBE.

a b c (Å): 6.0878 6.0878 7.7853
angles (deg): 124.25 124.25 41.64
Closest atoms and distances in Å follow each position.
Atoms (fractional coordinates):
Y1 0.0926 0.0926 0.3672  3 Os 2.88-3.14
Y2 0.3157 0.3157 0.9199  3 Os 2.85-3.09
Y3 0.6843 0.6843 0.0801  3 Os 2.85-3.09
Y4 0.9074 0.9074 0.6328  3 Os 2.88-3.14
Os1 0.3626 0.3626 0.3540  1 Os 2.53
Os2 0.6374 0.6374 0.6460  1 Os 2.53

Output
**E_form**: -177 meV/atom
**Space group**: C2/m, No. 12
**ρ**: 7986 kg/m3

---

This record from the Alexandria database describes a relaxed structure of YOs. The functional is PBE.

a b c (Å): 3.2916 3.2916 4.3765
angles (deg): 90.00 90.00 120.00
Closest atoms and distances in Å follow each position.
Atoms (fractional coordinates):
Y1 0.0000 0.0000 0.0000  6 Os 2.90
Os1 0.6667 0.3333 0.5000  6 Y 2.90

Output
**E_form**: 433 meV/atom
**Space group**: P-6m2, No. 187
**ρ**: 11288 kg/m3

---

This record from the Alexandria database describes a relaxed structure of YOs3. The functional is PBE.

a b c (Å): 2.8215 3.8316 6.4462
angles (deg): 90.00 90.00 90.00
Closest atoms and distances in Å follow each position.
Atoms (fractional coordinates):
Y1 0.0000 0.0000 0.0000  2 Y 2.82, 8 Os 3.07
Os1 0.0000 0.0000 0.5000  10 Os 2.70-2.82
Os2 0.5000 0.5000 0.3004  7 Os 2.57-2.82
Os3 0.5000 0.5000 0.6996  7 Os 2.57-2.82

Output
**E_form**: 303 meV/atom
**Space group**: Pmmm, No. 47
**ρ**: 15717 kg/m3

---

This record from the Alexandria database describes a relaxed structure of YOs3. The functional is PBE.

a b c (Å): 8.7610 8.7610 8.7610
angles (deg): 153.38 153.38 38.01
Closest atoms and distances in Å follow each position.
Atoms (fractional coordinates):
Y1 0.1196 0.1196 0.0000  12 Os 2.83-2.96
Y2 0.8804 0.8804 0.0000  12 Os 2.83-2.96
Os1 0.0000 0.5000 0.5000  4 Y 2.83, 8 Os 2.85-3.05
Os2 0.2500 0.7500 0.5000  8 Os 2.74-2.85, 4 Y 2.96
Os3 0.3621 0.3621 0.0000  8 Os 2.74-3.05, 4 Y 2.87
Os4 0.5000 0.0000 0.5000  4 Y 2.83, 8 Os 2.85-3.05
Os5 0.6379 0.6379 0.0000  8 Os 2.74-3.05, 4 Y 2.87
Os6 0.7500 0.2500 0.5000  8 Os 2.74-2.85, 4 Y 2.96

Output
**E_form**: 441 meV/atom
**Space group**: I4/mmm, No. 139
**ρ**: 16247 kg/m3

---

This record from the Alexandria database describes a relaxed structure of Y5Os3. The functional is PBE.

a b c (Å): 8.7165 8.7165 7.5596
angles (deg): 94.06 94.06 136.89
Closest atoms and distances in Å follow each position.
Atoms (fractional coordinates):
Y1 0.0191 0.6401 0.7972  4 Os 2.86-3.09
Y2 0.1788 0.4041 0.6374  5 Os 2.88-3.04
Y3 0.2570 0.2570 0.0329  4 Os 2.91-3.16, 2 Y 3.23-3.25
Y4 0.3599 0.9809 0.2028  4 Os 2.86-3.09
Y5 0.4041 0.1788 0.6374  5 Os 2.88-3.04
Y6 0.5959 0.8212 0.3626  5 Os 2.88-3.04
Y7 0.6401 0.0191 0.7972  4 Os 2.86-3.09
Y8 0.7430 0.7430 0.9671  4 Os 2.91-3.16, 2 Y 3.23-3.25
Y9 0.8212 0.5959 0.3626  5 Os 2.88-3.04
Y10 0.9809 0.3599 0.2028  4 Os 2.86-3.09
Os1 0.0537 0.0537 0.3461  1 Os 2.55
Os2 0.2512 0.7488 0.5000  8 Y 2.86-2.98, 2 Os 3.20
Os3 0.3485 0.6515 0.0000  8 Y 2.88-3.09
Os4 0.6515 0.3485 0.0000  8 Y 2.88-3.09
Os5 0.7488 0.2512 0.5000  8 Y 2.86-2.98, 2 Os 3.20
Os6 0.9463 0.9463 0.6539  1 Os 2.55

Output
**Distance to the lowest polymorph of the same formula**: 0.0 kJ/mol of atoms
**E_form**: -159 meV/atom
**Space group**: C2/m, No. 12
**ρ**: 8754 kg/m3

---

This record from the Alexandria database describes a relaxed structure of YOs. The functional is PBE.

a b c (Å): 10.0120 10.0120 4.1855
angles (deg): 90.00 90.00 90.00
Closest atoms and distances in Å follow each position.
Atoms (fractional coordinates):
Y1 0.0000 0.3274 0.0000  4 Os 2.99
Y2 0.0000 0.6726 0.0000  4 Os 2.99
Y3 0.2896 0.2896 0.5000  6 Os 2.67-2.99
Y4 0.2896 0.7104 0.5000  6 Os 2.67-2.99
Y5 0.3274 0.0000 0.0000  4 Os 2.99
Y6 0.6726 0.0000 0.0000  4 Os 2.99
Y7 0.7104 0.2896 0.5000  6 Os 2.67-2.99
Y8 0.7104 0.7104 0.5000  6 Os 2.67-2.99
Os1 0.1259 0.5000 0.5000  1 Os 2.52, 2 Y 2.67
Os2 0.3223 0.5000 0.0000  2 Os 2.52
Os3 0.5000 0.1259 0.5000  1 Os 2.52, 2 Y 2.67
Os4 0.5000 0.3223 0.0000  2 Os 2.52
Os5 0.5000 0.6777 0.0000  2 Os 2.52
Os6 0.5000 0.8741 0.5000  1 Os 2.52, 2 Y 2.67
Os7 0.6777 0.5000 0.0000  2 Os 2.52
Os8 0.8741 0.5000 0.5000  1 Os 2.52, 2 Y 2.67

Output
**E_form**: 194 meV/atom
**Space group**: P4/mmm, No. 123
**ρ**: 8838 kg/m3

---

This record from the Alexandria database describes a relaxed structure of YOs2. The functional is PBE.

a b c (Å): 7.9545 7.9545 2.9660
angles (deg): 90.00 90.00 145.40
Closest atoms and distances in Å follow each position.
Atoms (fractional coordinates):
Y1 0.0986 0.9014 0.7500  8 Os 2.81-3.05, 2 Y 2.97
Y2 0.9014 0.0986 0.2500  8 Os 2.81-3.05, 2 Y 2.97
Os1 0.2742 0.7258 0.2500  8 Os 2.71-2.97
Os2 0.4233 0.5767 0.7500  6 Os 2.71-2.97, 4 Y 2.81
Os3 0.5767 0.4233 0.2500  6 Os 2.71-2.97, 4 Y 2.81
Os4 0.7258 0.2742 0.7500  8 Os 2.71-2.97

Output
**E_form**: 312 meV/atom
**Space group**: Cmcm, No. 63
**ρ**: 14628 kg/m3

---

Calculated values (Bohr magnetons per cell) of total moment for the records, taken in order: 0.000, 0.000, 0.000, 0.000, 6.071, 0.000, 0.000, 0.000, 0.000, 0.000, 1.184, 0.000.
Calculated values (eV per cell) of energy for the records, taken in order: -48.806, -67.989, -94.390, -60.270, -85.145, -49.375, -16.827, -38.942, -76.779, -134.570, -138.445, -55.977.